Mn2CdSb2 PBE-GGA relaxed; offset from the most stable computed form = 0.412 eV per formula unit; raw total energy = -5.149 eV per atom; total magnetization = 0.00 μB per formula unit
1.0
-1.286 1.084 -7.170
-5.883 -4.412 0.388
-1.853 2.534 0.715
Cd Mn Sb
2 4 4
direct
0.500 0.500 0.000
0.000 0.000 0.000
0.361 0.861 0.000
0.861 0.639 0.000
0.639 0.139 0.000
0.139 0.361 0.000
0.655 0.845 0.500
0.155 0.655 0.500
0.845 0.345 0.500
0.345 0.155 0.500